DFT (PBE-GGA) results for a geometry-optimized TbDyAlIn structure.

Lattice parameters (Å, degrees): 3.638 3.638 7.600 90.00 90.00 90.00
Element x y z (fractional)
1 Tb 0.000 0.000 0.000
2 Dy 0.000 0.000 0.477
3 Al 0.500 0.500 0.240
4 In 0.500 0.500 0.737

Computed properties:
Total DFT energy (no corrections) ... -4.3546 eV per atom
Calculated formation energy ... -0.4262 eV per atom
Space group ... No. 99
Distance to the lowest polymorph of the same formula ... 0.0000 eV/atom